No. 1
## Dy4Er9Tm11 (PBE)

Data for a relaxed structure of Dy4Er9Tm11. Values from VASP.

Energy of formation in eV/atom: 0.0506
Space group: Cmmm, No. 65
Density of states at the Fermi level in states/eV/cell: 29.5

The structure in Quantum ESPRESSO input format:
```
&SYSTEM
  ibrav = 0, nat = 24, ntyp = 3
/
ATOMIC_SPECIES
Dy 162.50 Dy.upf
Er 167.26 Er.upf
Tm 168.93 Tm.upf
CELL_PARAMETERS angstrom
8.203 -12.371 0.000
8.203 12.371 0.000
0.000 0.000 3.611
ATOMIC_POSITIONS angstrom
Dy 2.539 2.496 0.000
Dy 2.539 -2.496 0.000
Dy 13.866 2.496 0.000
Dy 13.866 -2.496 0.000
Er 0.000 0.000 0.000
Er 6.526 6.579 0.000
Er 5.889 1.797 0.000
Er 9.879 6.579 0.000
Er 5.889 -1.797 0.000
Er 10.516 1.797 0.000
Er 6.526 -6.579 0.000
Er 10.516 -1.797 0.000
Er 9.879 -6.579 0.000
Tm 4.503 4.484 1.805
Tm 8.203 9.068 1.805
Tm 3.432 0.000 1.805
Tm 8.203 3.949 1.805
Tm 4.503 -4.484 1.805
Tm 8.203 0.000 1.805
Tm 11.902 4.484 1.805
Tm 8.203 -3.949 1.805
Tm 12.973 0.000 1.805
Tm 8.203 -9.068 1.805
Tm 11.902 -4.484 1.805
```

No. 2
## PmZnCdHg (PBE)

Data for a relaxed structure of PmZnCdHg. Values from VASP.

Energy of formation in eV/atom: -0.3384
Space group: F-43m, No. 216
Density of states at the Fermi level in states/eV/cell: 2.0

The structure in Quantum ESPRESSO input format:
```
&SYSTEM
  ibrav = 0, nat = 4, ntyp = 4
/
ATOMIC_SPECIES
Pm 145.00 Pm.upf
Zn 65.41 Zn.upf
Cd 112.41 Cd.upf
Hg 200.59 Hg.upf
CELL_PARAMETERS angstrom
0.000 3.568 3.568
3.568 0.000 3.568
3.568 3.568 0.000
ATOMIC_POSITIONS angstrom
Pm 0.000 0.000 0.000
Zn 5.352 5.352 5.352
Cd 3.568 3.568 3.568
Hg 1.784 1.784 1.784
```

No. 3
## BaMgGa2 (PBE)

Data for a relaxed structure of BaMgGa2. Values from VASP.

Energy of formation in eV/atom: -0.3057
Space group: C2/m, No. 12
Density of states at the Fermi level in states/eV/cell: 2.5

The structure in Quantum ESPRESSO input format:
```
&SYSTEM
  ibrav = 0, nat = 4, ntyp = 3
/
ATOMIC_SPECIES
Ba 137.33 Ba.upf
Mg 24.30 Mg.upf
Ga 69.72 Ga.upf
CELL_PARAMETERS angstrom
4.056 -2.337 0.000
4.056 2.337 0.000
-2.698 0.000 6.014
ATOMIC_POSITIONS angstrom
Ba 0.000 0.000 0.000
Mg 2.706 0.000 3.007
Ga 0.006 0.000 3.764
Ga 5.407 0.000 2.250
```

No. 4
## SrSc2Cd (PBE)

Data for a relaxed structure of SrSc2Cd. Values from VASP.

Energy above the lowest structure with this stoichiometry in eV/f.u.: 0.810
Energy of formation in eV/atom: 0.1767
Space group: C2/m, No. 12
Density of states at the Fermi level in states/eV/cell: 7.1

The structure in Quantum ESPRESSO input format:
```
&SYSTEM
  ibrav = 0, nat = 4, ntyp = 3
/
ATOMIC_SPECIES
Sr 87.62 Sr.upf
Sc 44.96 Sc.upf
Cd 112.41 Cd.upf
CELL_PARAMETERS angstrom
3.316 -5.789 0.000
3.316 5.789 0.000
-1.555 0.000 2.941
ATOMIC_POSITIONS angstrom
Sr 0.000 0.000 0.000
Sc 0.880 2.894 1.470
Sc 0.880 -2.894 1.470
Cd 3.316 0.000 0.000
```

No. 5
## SmHoThMg (PBE)

Data for a relaxed structure of SmHoThMg. Values from VASP.

Energy above the lowest structure with this stoichiometry in eV/f.u.: 0.000
Energy of formation in eV/atom: -0.0444
Space group: P4mm, No. 99
Density of states at the Fermi level in states/eV/cell: 4.1

The structure in Quantum ESPRESSO input format:
```
&SYSTEM
  ibrav = 0, nat = 4, ntyp = 4
/
ATOMIC_SPECIES
Sm 150.36 Sm.upf
Ho 164.93 Ho.upf
Th 232.04 Th.upf
Mg 24.30 Mg.upf
CELL_PARAMETERS angstrom
3.600 0.000 0.000
0.000 3.600 0.000
0.000 0.000 9.257
ATOMIC_POSITIONS angstrom
Sm 0.000 0.000 0.000
Ho 0.000 0.000 4.450
Th 1.800 1.800 6.822
Mg 1.800 1.800 2.286
```

No. 6
## Tb3RhAu2 (PBE)

Data for a relaxed structure of Tb3RhAu2. Values from VASP.

Energy above the lowest structure with this stoichiometry in eV/f.u.: 0.225
Energy of formation in eV/atom: -0.7416
Space group: C2/c, No. 15
Density of states at the Fermi level in states/eV/cell: 8.8

The structure in Quantum ESPRESSO input format:
```
&SYSTEM
  ibrav = 0, nat = 12, ntyp = 3
/
ATOMIC_SPECIES
Tb 158.93 Tb.upf
Rh 102.91 Rh.upf
Au 196.97 Au.upf
CELL_PARAMETERS angstrom
6.728 -2.922 0.000
6.728 2.922 0.000
-2.416 0.000 7.689
ATOMIC_POSITIONS angstrom
Tb 4.916 2.909 5.766
Tb 2.496 0.008 7.119
Tb 3.704 -0.008 3.274
Tb 7.335 0.008 4.414
Tb 8.543 -0.008 0.570
Tb 6.124 -2.909 1.922
Rh 6.124 0.013 1.922
Rh 4.916 -0.013 5.766
Au 0.931 0.008 4.515
Au 2.139 -0.008 0.670
Au 8.900 0.008 7.018
Au 10.108 -0.008 3.174
```

No. 7
## Pm5TlIr2 (PBE)

Data for a relaxed structure of Pm5TlIr2. Values from VASP.

Energy of formation in eV/atom: -0.5586
Space group: I4/mcm, No. 140
Density of states at the Fermi level in states/eV/cell: 16.8

The structure in Quantum ESPRESSO input format:
```
&SYSTEM
  ibrav = 0, nat = 16, ntyp = 3
/
ATOMIC_SPECIES
Pm 145.00 Pm.upf
Tl 204.38 Tl.upf
Ir 192.22 Ir.upf
CELL_PARAMETERS angstrom
-3.984 3.984 7.026
3.984 -3.984 7.026
3.984 3.984 -7.026
ATOMIC_POSITIONS angstrom
Pm 0.000 0.000 0.000
Pm 5.276 1.291 -1.847
Pm 1.291 2.693 -1.847
Pm 5.276 1.291 1.847
Pm 1.291 2.693 1.847
Pm 0.000 0.000 7.026
Pm 2.693 1.291 5.179
Pm -1.291 2.693 5.179
Pm 2.693 1.291 8.874
Pm -1.291 2.693 8.874
Tl 0.000 0.000 3.513
Tl 0.000 0.000 10.539
Ir 2.886 1.098 0.000
Ir 2.886 -1.098 7.026
Ir 1.098 5.082 0.000
Ir 1.098 2.886 7.026
```

No. 8
## Tm2NiH (PBE)

Data for a relaxed structure of Tm2NiH. Values from VASP.

Energy above the lowest structure with this stoichiometry in eV/f.u.: 0.814
Space group: P4/mmm, No. 123
Density of states at the Fermi level in states/eV/cell: 3.0

The structure in Quantum ESPRESSO input format:
```
&SYSTEM
  ibrav = 0, nat = 4, ntyp = 3
/
ATOMIC_SPECIES
Tm 168.93 Tm.upf
Ni 58.69 Ni.upf
H 1.01 H.upf
CELL_PARAMETERS angstrom
3.192 0.000 0.000
0.000 3.192 0.000
0.000 0.000 6.780
ATOMIC_POSITIONS angstrom
Tm 0.000 0.000 1.692
Tm 0.000 0.000 5.088
Ni 1.596 1.596 0.000
H 1.596 1.596 3.390
```

No. 9
## Y3TaO7 (PBE)

Data for a relaxed structure of Y3TaO7. Values from VASP.

Energy above the lowest structure with this stoichiometry in eV/f.u.: 2.873
Space group: Cmme, No. 67
Raw formation energy in eV per atom: -3.135
Density of states at the Fermi level in states/eV/cell: 0.0

The structure in Quantum ESPRESSO input format:
```
&SYSTEM
  ibrav = 0, nat = 22, ntyp = 3
/
ATOMIC_SPECIES
Y 88.91 Y.upf
Ta 180.95 Ta.upf
O 16.00 O.upf
CELL_PARAMETERS angstrom
3.737 -7.251 0.000
3.737 7.251 0.000
0.000 0.000 5.381
ATOMIC_POSITIONS angstrom
Y 1.868 3.626 2.691
Y 3.737 5.518 5.235
Y 3.737 1.733 5.235
Y 1.868 -3.626 2.691
Y 3.737 -1.733 0.146
Y 3.737 -5.518 0.146
Ta 1.868 0.000 2.691
Ta 5.605 0.000 2.691
O 3.737 7.063 3.821
O 1.628 1.729 3.955
O 2.109 1.729 1.426
O 3.737 3.626 4.013
O 1.628 -1.729 1.426
O 2.109 -1.729 3.955
O 3.737 0.188 3.821
O 3.737 -0.188 1.560
O 5.365 1.729 1.426
O 5.845 1.729 3.955
O 3.737 -3.626 1.368
O 5.365 -1.729 3.955
O 5.845 -1.729 1.426
O 3.737 -7.063 1.560
```

No. 10
## TaAs2Cl (PBE)

Data for a relaxed structure of TaAs2Cl. Values from VASP.

Energy above the lowest structure with this stoichiometry in eV/f.u.: 2.765
Space group: I-42d, No. 122
Raw formation energy in eV per atom: 0.330
Density of states at the Fermi level in states/eV/cell: 3.5

The structure in Quantum ESPRESSO input format:
```
&SYSTEM
  ibrav = 0, nat = 8, ntyp = 3
/
ATOMIC_SPECIES
Ta 180.95 Ta.upf
As 74.92 As.upf
Cl 35.45 Cl.upf
CELL_PARAMETERS angstrom
-3.125 3.125 5.994
3.125 -3.125 5.994
3.125 3.125 -5.994
ATOMIC_POSITIONS angstrom
Ta 0.000 0.000 0.000
Ta 0.000 3.125 2.997
As 4.687 1.169 -1.499
As 1.169 1.562 1.499
As -1.562 1.956 4.496
As 1.956 1.562 7.493
Cl 3.125 0.000 2.997
Cl 0.000 0.000 5.994
```

No. 11
## Te2MoAs (PBE)

Data for a relaxed structure of Te2MoAs. Values from VASP.

Space group: I-42d, No. 122
Raw formation energy in eV per atom: 0.602
Density of states at the Fermi level in states/eV/cell: 9.7

The structure in Quantum ESPRESSO input format:
```
&SYSTEM
  ibrav = 0, nat = 8, ntyp = 3
/
ATOMIC_SPECIES
Te 127.60 Te.upf
Mo 95.94 Mo.upf
As 74.92 As.upf
CELL_PARAMETERS angstrom
-3.296 3.296 5.725
3.296 -3.296 5.725
3.296 3.296 -5.725
ATOMIC_POSITIONS angstrom
Te 4.944 1.427 -1.431
Te 1.427 1.648 1.431
Te -1.648 1.869 4.294
Te 1.869 1.648 7.157
Mo 0.000 0.000 0.000
Mo 0.000 3.296 2.863
As 3.296 0.000 2.863
As 0.000 0.000 5.725
```

No. 12
## Rb2NpPbBr8 (PBE)

Data for a relaxed structure of Rb2NpPbBr8. Values from VASP.

Space group: P2/m, No. 10
Raw formation energy in eV per atom: -1.316
Density of states at the Fermi level in states/eV/cell: 4.4

The structure in Quantum ESPRESSO input format:
```
&SYSTEM
  ibrav = 0, nat = 12, ntyp = 4
/
ATOMIC_SPECIES
Rb 85.47 Rb.upf
Np 237.00 Np.upf
Pb 207.20 Pb.upf
Br 79.90 Br.upf
CELL_PARAMETERS angstrom
7.139 0.000 0.000
0.000 9.222 0.000
-0.277 0.000 7.914
ATOMIC_POSITIONS angstrom
Rb 0.000 2.296 0.000
Rb 0.000 6.926 0.000
Np 3.431 4.611 3.957
Pb 3.431 0.000 3.957
Br 1.894 0.000 1.463
Br 1.769 2.555 4.894
Br 1.769 6.667 4.894
Br 2.105 4.611 1.545
Br 4.757 4.611 6.369
Br 4.968 0.000 6.451
Br 5.093 2.555 3.020
Br 5.093 6.667 3.020
```